Here is crystalline La2ZrAl at its relaxed geometry from the Alexandria database. Energies are from PBE.

The structure in CIF format:
```
data_La2ZrAl
_cell_length_a 5.320
_cell_length_b 5.320
_cell_length_c 5.320
_cell_angle_alpha 60.00
_cell_angle_beta 60.00
_cell_angle_gamma 60.00
_symmetry_space_group_name_H-M 'P 1'
_symmetry_Int_Tables_number 1
loop_
_symmetry_equiv_pos_as_xyz
'x,y,z'
loop_
_atom_site_label
_atom_site_fract_x
_atom_site_fract_y
_atom_site_fract_z
_atom_site_occupancy
Al1 0.500 0.500 0.500 1
Zr1 0.750 0.750 0.750 1
La1 0.000 0.000 0.000 1
La2 0.250 0.250 0.250 1
```

Output
**Volume**: 106.5 Å³/cell
**DFT total energy**: -21.9 eV/cell
**SG**: No. 216



Here is crystalline Cr2InRh at its relaxed geometry from the Alexandria database. Energies are from PBE.

The structure in CIF format:
```
data_Cr2InRh
_cell_length_a 7.278
_cell_length_b 7.278
_cell_length_c 5.828
_cell_angle_alpha 51.37
_cell_angle_beta 51.37
_cell_angle_gamma 90.00
_symmetry_space_group_name_H-M 'P 1'
_symmetry_Int_Tables_number 1
loop_
_symmetry_equiv_pos_as_xyz
'x,y,z'
loop_
_atom_site_label
_atom_site_fract_x
_atom_site_fract_y
_atom_site_fract_z
_atom_site_occupancy
Cr1 0.586 0.125 0.250 1
Cr2 0.164 0.625 0.250 1
Cr3 0.375 0.414 0.750 1
Cr4 0.875 0.836 0.750 1
Rh1 0.500 0.500 0.000 1
Rh2 0.250 0.750 0.500 1
In1 0.000 0.000 0.000 1
In2 0.750 0.250 0.500 1
```

Output
**Volume**: 144.9 Å³/cell
**DFT total energy**: -53.6 eV/cell
**SG**: No. 122